The following is a DFT calculation (PBE) of crystalline CrAuN2 at its relaxed geometry.

Lattice parameters (Å, degrees): 5.5431 5.5431 5.5431 128.18 128.18 76.33
Sites, in units of the cell vectors:
Cr (0.0000, 0.0000, 0.0000)
Cr (0.7500, 0.2500, 0.5000)
Au (0.2500, 0.7500, 0.5000)
Au (0.5000, 0.5000, 0.0000)
N (0.0394, 0.6250, 0.9144)
N (0.3750, 0.2894, 0.4144)
N (0.7106, 0.1250, 0.0856)
N (0.8750, 0.9606, 0.5856)

Properties
energy relative to the elements, uncorrected = 0.26 eV/atom
magnetization = 1.0 μB per formula unit
SG = No. 122
electronic total energy = -7.1237 eV/atom
V = 12.78 Å³/atom



The following is a DFT calculation (PBE) of crystalline MnBe2Fe5W2 at its relaxed geometry.

Lattice parameters (Å, degrees): 8.6796 8.6796 2.8881 90.00 90.00 90.00
Sites, in units of the cell vectors:
Mn (0.0000, 0.0000, 0.0000)
Mn (0.5000, 0.5000, 0.0000)
Be (0.1216, 0.3784, 0.0000)
Be (0.3784, 0.8784, 0.0000)
Be (0.6216, 0.1216, 0.0000)
Be (0.8784, 0.6216, 0.0000)
Fe (0.0000, 0.5000, 0.5000)
Fe (0.0676, 0.2090, 0.5000)
Fe (0.2090, 0.9324, 0.5000)
Fe (0.2910, 0.4324, 0.5000)
Fe (0.4324, 0.7090, 0.5000)
Fe (0.5000, 0.0000, 0.5000)
Fe (0.5676, 0.2910, 0.5000)
Fe (0.7090, 0.5676, 0.5000)
Fe (0.7910, 0.0676, 0.5000)
Fe (0.9324, 0.7910, 0.5000)
W (0.1759, 0.6759, 0.0000)
W (0.3241, 0.1759, 0.0000)
W (0.6759, 0.8241, 0.0000)
W (0.8241, 0.3241, 0.0000)

Properties
energy relative to the elements = -0.66 kJ/mol of atoms
magnetization = 2.0 μB per formula unit
SG = No. 127
electronic total energy = -8.4910 eV/atom
V = 10.88 Å³/atom



The following is a DFT calculation (PBE) of crystalline RbLi2UBr8 at its relaxed geometry.

Lattice parameters (Å, degrees): 6.8267 6.8747 9.9825 89.46 89.42 76.08
Sites, in units of the cell vectors:
Rb (0.0000, 0.0000, 0.0000)
Li (0.4997, 0.5001, 0.1548)
Li (0.5003, 0.4999, 0.8452)
U (0.0000, 0.0000, 0.5000)
Br (0.2321, 0.7758, 0.6938)
Br (0.2362, 0.2528, 0.5006)
Br (0.2372, 0.7816, 0.3056)
Br (0.3209, 0.3255, 0.0023)
Br (0.6791, 0.6745, 0.9977)
Br (0.7628, 0.2184, 0.6944)
Br (0.7638, 0.7472, 0.4994)
Br (0.7679, 0.2242, 0.3062)

Properties
energy relative to the elements, uncorrected = -1.38 eV/atom
magnetization = 1.0 μB per formula unit
SG = No. 2
electronic total energy = -3.8349 eV/atom
V = 37.89 Å³/atom



The following is a DFT calculation (PBE) of crystalline KU2TeO8 at its relaxed geometry.

Lattice parameters (Å, degrees): 5.1597 5.1597 7.0840 90.00 90.00 92.15
Sites, in units of the cell vectors:
K (0.0000, 0.0000, 0.0000)
U (0.5000, 0.5000, 0.2500)
U (0.5000, 0.5000, 0.7500)
Te (0.0000, 0.0000, 0.5000)
O (0.2172, 0.2172, 0.2866)
O (0.2172, 0.2172, 0.7134)
O (0.3073, 0.6927, 0.5000)
O (0.3367, 0.6633, 0.0000)
O (0.6633, 0.3367, 0.0000)
O (0.6927, 0.3073, 0.5000)
O (0.7828, 0.7828, 0.2866)
O (0.7828, 0.7828, 0.7134)

Properties
energy relative to the elements, uncorrected = -2.37 eV/atom
magnetization = 1.0 μB per formula unit
SG = No. 65
electronic total energy = -7.9109 eV/atom
V = 15.71 Å³/atom



The following is a DFT calculation (PBE) of crystalline CeCuPS at its relaxed geometry.

Lattice parameters (Å, degrees): 4.0725 4.0725 8.7307 90.00 90.00 90.00
Sites, in units of the cell vectors:
Ce (0.2500, 0.2500, 0.2130)
Ce (0.7500, 0.7500, 0.7870)
Cu (0.2500, 0.7500, 0.5000)
Cu (0.7500, 0.2500, 0.5000)
P (0.2500, 0.2500, 0.6530)
P (0.7500, 0.7500, 0.3470)
S (0.2500, 0.7500, 0.0000)
S (0.7500, 0.2500, 0.0000)

Properties
energy relative to the elements, uncorrected = -1.05 eV/atom
magnetization = 0.1 μB per formula unit
SG = No. 129
electronic total energy = -5.9385 eV/atom
V = 18.10 Å³/atom



The following is a DFT calculation (PBE) of crystalline HoFe3P3 at its relaxed geometry.

Lattice parameters (Å, degrees): 6.0689 6.0689 6.0689 90.00 90.00 90.00
Sites, in units of the cell vectors:
Ho (0.0000, 0.0000, 0.0000)
Ho (0.5000, 0.5000, 0.5000)
Fe (0.0000, 0.2500, 0.5000)
Fe (0.0000, 0.7500, 0.5000)
Fe (0.2500, 0.5000, 0.0000)
Fe (0.5000, 0.0000, 0.2500)
Fe (0.5000, 0.0000, 0.7500)
Fe (0.7500, 0.5000, 0.0000)
P (0.0000, 0.5000, 0.2500)
P (0.0000, 0.5000, 0.7500)
P (0.2500, 0.0000, 0.5000)
P (0.5000, 0.2500, 0.0000)
P (0.5000, 0.7500, 0.0000)
P (0.7500, 0.0000, 0.5000)

Properties
energy relative to the elements = -36.16 kJ/mol of atoms
magnetization = 2.5 μB per formula unit
SG = No. 223
electronic total energy = -6.9742 eV/atom
V = 15.97 Å³/atom